This record from Alexandria describes a relaxed structure of TlHgSb2. The functional is PBE.

Properties
Its space group is P4/mmm. As for the excess energy over the best structure of this formula in the dataset: 124 meV per atom.

abc: 3.2001 3.2001 11.2563
angles: 90.00 90.00 90.00
Fractional coordinates of all 4 atoms:
Tl  0.0000  0.0000  0.0000
Hg  0.0000  0.0000  0.5000
Sb  0.5000  0.5000  0.2542
Sb  0.5000  0.5000  0.7458

=====

This record from Alexandria describes a relaxed structure of SrLiTe2Os. The functional is PBE.

Properties
Its space group is P4/mmm.

abc: 6.0051 6.0051 5.9410
angles: 90.00 90.00 90.00
Fractional coordinates of all 5 atoms:
Sr  0.0000  0.0000  0.0000
Li  0.0000  0.0000  0.5000
Te  0.0000  0.5000  0.0000
Te  0.5000  0.0000  0.0000
Os  0.5000  0.5000  0.5000

=====

Short version: volume = 115.3; 214.2 Å³/cell, in the order given.
Short version: formation energy without anion corrections = 0.164; 1.428 eV/atom, in the order given.